Record 1
A plane-wave DFT calculation with PBE was carried out for a relaxed TbGaRh4 crystal.

a b c (Å): 8.5120 8.5120 5.9834
angles (deg): 90.00 90.00 152.60
Last column: nearest neighbours and their distance in Å.
Element x y z (fractional)
Tb: 0.0966 0.9034 0.7500  11 Rh 2.85-3.01
Tb: 0.9034 0.0966 0.2500  11 Rh 2.85-3.01
Ga: 0.2245 0.7755 0.2500  7 Rh 2.43-2.58
Ga: 0.7755 0.2245 0.7500  7 Rh 2.43-2.58
Rh: 0.0757 0.9243 0.2500  1 Ga 2.46
Rh: 0.3309 0.6691 0.5302  3 Ga 2.43-2.58, 1 Rh 2.63
Rh: 0.3309 0.6691 0.9698  3 Ga 2.43-2.58, 1 Rh 2.63
Rh: 0.5000 0.5000 0.0000  8 Rh 2.80-2.99, 4 Tb 2.98
Rh: 0.5000 0.5000 0.5000  8 Rh 2.80-2.99, 4 Tb 2.98
Rh: 0.6691 0.3309 0.0302  3 Ga 2.43-2.58, 1 Rh 2.63
Rh: 0.6691 0.3309 0.4698  3 Ga 2.43-2.58, 1 Rh 2.63
Rh: 0.9243 0.0757 0.7500  1 Ga 2.46

Results
Energy relative to the elements   -0.5031 eV/atom
Distance to the lowest polymorph of the same formula   0 meV per atom



Record 2
A plane-wave DFT calculation with PBE was carried out for a relaxed NaZn2TcO6 crystal.

a b c (Å): 7.3307 7.3307 6.5948
angles (deg): 105.33 105.33 91.21
Last column: nearest neighbours and their distance in Å.
Element x y z (fractional)
Na: 0.2421 0.7579 0.7500  4 O 2.33-2.38
Na: 0.7579 0.2421 0.2500  4 O 2.33-2.38
Zn: 0.3558 0.3694 0.7963  2 O 1.83-1.84
Zn: 0.3694 0.3558 0.2963  2 O 1.83-1.84
Zn: 0.6306 0.6442 0.7037  2 O 1.83-1.84
Zn: 0.6442 0.6306 0.2037  2 O 1.83-1.84
Tc: 0.1388 0.8612 0.2500  4 O 1.74-1.75
Tc: 0.8612 0.1388 0.7500  4 O 1.74-1.75
O: 0.0777 0.1661 0.6918  1 Tc 1.75
O: 0.1459 0.6744 0.0260  1 Tc 1.74
O: 0.1661 0.0777 0.1918  1 Tc 1.75
O: 0.3049 0.4560 0.5509  2 Zn 1.83-1.84
O: 0.3256 0.8541 0.4740  1 Tc 1.74
O: 0.4560 0.3049 0.0509  2 Zn 1.83-1.84
O: 0.5440 0.6951 0.9491  2 Zn 1.83-1.84
O: 0.6744 0.1459 0.5260  1 Tc 1.74
O: 0.6951 0.5440 0.4491  2 Zn 1.83-1.84
O: 0.8339 0.9223 0.8082  1 Tc 1.75
O: 0.8541 0.3256 0.9740  1 Tc 1.74
O: 0.9223 0.8339 0.3082  1 Tc 1.75

Results
E_form (uncorrected)   -1331 meV/atom



Number 1: total magnetic moment 0.00 μB per formula unit. Number 2: total magnetic moment 0.00 μB per formula unit.